The following is a PBE calculation of crystalline ZrGaAu at its relaxed geometry, from Alexandria via LeMat-Bulk.

Cell: 3.1788 4.4962 4.4962 Å, 120.00 90.00 90.00°
Fractional coordinates of all 3 atoms:
Zr1 0.6668 0.6667 0.3333
Au1 0.1670 0.3333 0.6667
Ga1 0.1662 0.0000 0.0000

Summary:
E_tot	-5.54	eV per atom
ρ	10.68	Mg/m³
space group	P-6m2 (187)
Fermi-level density of states	0.859	states/eV per atom
formation enthalpy at 0 K	-1.76	eV per formula unit

---

The following is a PBE calculation of crystalline La2Tb3Sm6Tl at its relaxed geometry, from Alexandria via LeMat-Bulk.

Cell: 6.2043 6.2043 11.9501 Å, 95.00 95.00 120.05°
Fractional coordinates of all 12 atoms:
Sm1 0.2421 0.2421 0.7471
Sm2 0.5907 0.9165 0.7482
Sm3 0.4093 0.0835 0.2518
Sm4 0.9165 0.5907 0.7482
Sm5 0.0835 0.4093 0.2518
Sm6 0.7579 0.7579 0.2529
La1 0.3336 0.6664 0.0000
La2 0.6664 0.3336 0.0000
Tb1 0.5000 0.5000 0.5000
Tb2 0.8327 0.1673 0.5000
Tb3 0.1673 0.8327 0.5000
Tl1 0.0000 0.0000 0.0000

Summary:
E_tot	-4.57	eV per atom
ρ	7.88	Mg/m³
space group	C2/m (12)
Fermi-level density of states	1.323	states/eV per atom
formation enthalpy at 0 K	-0.47	eV per formula unit